## one
This record from OQMD describes a relaxed LuNiBiPt crystal. The functional is PBE-GGA.

Cell and atoms, written as POSCAR:
```
LuNiBiPt
1.0
0.0000 3.3850 3.3850
3.3850 0.0000 3.3850
3.3850 3.3850 0.0000
Bi Lu Ni Pt
1 1 1 1
Cartesian
0.0000 0.0000 0.0000 Bi
1.6925 1.6925 1.6925 Lu
5.0774 5.0774 5.0774 Ni
3.3850 3.3850 3.3850 Pt
```

Computed properties:
density	13.7	g/cm³

## two
This record from OQMD describes a relaxed LuNiBiPt crystal. The functional is PBE-GGA.

Cell and atoms, written as POSCAR:
```
LuNiBiPt
1.0
-3.2429 -3.4920 0.4610
-3.5101 -0.4482 -3.2250
0.0073 -3.6915 -3.0489
Bi Lu Ni Pt
1 1 1 1
Cartesian
0.0000 0.0000 0.0000 Bi
-3.3728 -3.8158 -2.9065 Lu
-5.0593 -5.7238 -4.3597 Ni
-1.6864 -1.9079 -1.4532 Pt
```

Computed properties:
density	13.6	g/cm³

In meV per atom, relative to the most stable structure: one 193; two 0.

## one
This record from OQMD describes a relaxed LuTcNiBi crystal. The functional is PBE-GGA.

Cell and atoms, written as POSCAR:
```
LuTcNiBi
1.0
0.0000 3.3159 3.3159
3.3159 0.0000 3.3159
3.3159 3.3159 0.0000
Bi Lu Ni Tc
1 1 1 1
Cartesian
0.0000 0.0000 0.0000 Bi
3.3159 3.3159 3.3159 Lu
4.9738 4.9738 4.9738 Ni
1.6579 1.6579 1.6579 Tc
```

Computed properties:
density	12.3	g/cm³

## two
This record from OQMD describes a relaxed LuTcNiBi crystal. The functional is PBE-GGA.

Cell and atoms, written as POSCAR:
```
LuTcNiBi
1.0
0.0000 3.3915 3.3915
3.3915 0.0000 3.3915
3.3915 3.3915 0.0000
Bi Lu Ni Tc
1 1 1 1
Cartesian
0.0000 0.0000 0.0000 Bi
1.6958 1.6958 1.6958 Lu
5.0873 5.0873 5.0873 Ni
3.3915 3.3915 3.3915 Tc
```

Computed properties:
density	11.5	g/cm³

In meV per atom, relative to the most stable structure: one 0; two 399.

## one
This record from OQMD describes a relaxed Lu3Sc3Bi2Os crystal. The functional is PBE-GGA.

Cell and atoms, written as POSCAR:
```
Lu3Sc3Bi2Os
1.0
-5.8961 3.9598 3.4081
-1.5672 -6.1267 -4.6975
0.1772 -2.5685 3.2908
Bi Lu Os Sc
2 3 1 3
Cartesian
-4.3646 -0.6866 2.3516 Bi
-2.9216 -4.0488 -0.3503 Bi
-3.6541 2.4540 2.1121 Lu
-2.8380 -0.8240 -0.4903 Lu
-0.9712 -3.7969 -2.9112 Lu
0.0000 0.0000 0.0000 Os
-1.2455 -0.3883 2.4165 Sc
-0.2660 -2.6705 0.5825 Sc
-5.6860 -2.9608 0.6477 Sc
```

Computed properties:
density	9.4	g/cm³

## two
This record from OQMD describes a relaxed Lu3Sc3Bi2Os crystal. The functional is PBE-GGA.

Cell and atoms, written as POSCAR:
```
Lu3Sc3Bi2Os
1.0
-4.8417 -6.3898 0.1210
3.0096 2.6183 -6.9551
3.2215 -2.4320 0.4785
Bi Lu Os Sc
2 3 1 3
Cartesian
-0.6139 -4.6031 -1.9985 Bi
2.0032 -1.6004 -4.3572 Bi
0.4597 -2.7351 0.2680 Lu
2.3262 -0.5935 -1.4143 Lu
0.2141 -4.0909 -4.9701 Lu
0.0000 0.0000 0.0000 Os
-3.0055 -3.9664 0.0751 Sc
-0.6949 -1.4304 -2.5919 Sc
1.8682 1.6253 -4.3173 Sc
```

Computed properties:
density	9.3	g/cm³

In meV per atom, relative to the most stable structure: one 0; two 80.

## one
This record from OQMD describes a relaxed Tm3Lu3Bi2Pt crystal. The functional is PBE-GGA.

Cell and atoms, written as POSCAR:
```
Tm3Lu3Bi2Pt
1.0
-6.0442 1.2096 5.5577
7.5987 -2.1678 2.5386
1.0327 3.9328 0.2671
Bi Lu Pt Tm
2 3 1 3
Cartesian
-0.9802 2.0502 4.6849 Bi
3.5674 0.9244 3.6785 Bi
-3.6796 0.7364 3.3834 Lu
0.6081 -0.3748 3.1674 Lu
4.6260 -1.3197 1.5454 Lu
0.0000 0.0000 0.0000 Pt
-0.9329 2.2564 1.4662 Tm
2.3383 1.4466 0.7423 Tm
1.6981 1.2380 6.2885 Tm
```

Computed properties:
density	11.2	g/cm³

## two
This record from OQMD describes a relaxed Tm3Lu3Bi2Pt crystal. The functional is PBE-GGA.

Cell and atoms, written as POSCAR:
```
Tm3Lu3Bi2Pt
1.0
-4.8271 -1.2104 6.6168
-1.0374 -4.6315 -6.7838
2.6663 -2.7180 1.4479
Bi Lu Pt Tm
2 3 1 3
Cartesian
-2.2307 -3.7098 2.8739 Bi
-0.9674 -4.8502 -1.5930 Bi
0.1784 -1.6486 2.3070 Lu
1.0850 -2.4670 -0.8990 Lu
-3.1283 -5.8033 0.5969 Lu
0.0000 0.0000 0.0000 Pt
-2.9388 -0.7369 4.0285 Tm
-2.2940 -2.2852 -0.0653 Tm
-0.6316 -2.8198 -4.1302 Tm
```

Computed properties:
density	11.3	g/cm³

In meV per atom, relative to the most stable structure: one 32; two 0.

## one
This record from OQMD describes a relaxed LuSi2Bi crystal. The functional is PBE-GGA.

Cell and atoms, written as POSCAR:
```
LuSi2Bi
1.0
1.0896 1.1809 4.7984
-2.5423 -2.1939 3.7855
2.3101 -3.3790 2.9753
Bi Lu Si
1 1 2
Cartesian
0.6430 -3.2940 8.6695 Bi
0.4287 -2.1960 5.7796 Lu
0.0000 0.0000 0.0000 Si
0.2143 -1.0980 2.8898 Si
```

Computed properties:
density	8.0	g/cm³

## two
This record from OQMD describes a relaxed LuSi2Bi crystal. The functional is PBE-GGA.

Cell and atoms, written as POSCAR:
```
LuSi2Bi
1.0
-1.3852 4.0587 0.0228
-2.1786 -3.0213 2.1255
3.7816 1.2588 5.6655
Bi Lu Si
1 1 2
Cartesian
-0.3234 -0.1318 3.8078 Bi
3.7640 1.2530 5.6391 Lu
-0.8365 1.9694 1.9420 Si
1.1557 0.3606 6.0237 Si
```

Computed properties:
density	6.6	g/cm³

In meV per atom, relative to the most stable structure: one 46; two 0.

## one
This record from OQMD describes a relaxed NaMgNiBi crystal. The functional is PBE-GGA.

Cell and atoms, written as POSCAR:
```
NaMgNiBi
1.0
3.0736 -3.5083 -1.1470
3.0124 -1.7329 3.3157
-0.6448 -4.4257 1.7519
Bi Mg Na Ni
1 1 1 1
Cartesian
2.7206 -4.8335 1.9603 Bi
0.0000 0.0000 0.0000 Mg
4.0809 -7.2502 2.9404 Na
1.3603 -2.4167 0.9801 Ni
```

Computed properties:
density	6.7	g/cm³

## two
This record from OQMD describes a relaxed NaMgNiBi crystal. The functional is PBE-GGA.

Cell and atoms, written as POSCAR:
```
NaMgNiBi
1.0
0.0000 3.4450 3.4450
3.4450 0.0000 3.4450
3.4450 3.4450 0.0000
Bi Mg Na Ni
1 1 1 1
Cartesian
3.4450 3.4450 3.4450 Bi
5.1675 5.1675 5.1675 Mg
0.0000 0.0000 0.0000 Na
1.7225 1.7225 1.7225 Ni
```

Computed properties:
density	6.4	g/cm³

In meV per atom, relative to the most stable structure: one 0; two 88.